No. 1
Material: ZrPNCl2
Method: DFT, PBEsol
State: relaxed

Properties
formation energy from raw total energies = 41 kJ per mole of atoms
crystal system = tetragonal
relative energy among the computed polymorphs = 20 kJ/mol of formula units
space group = P4/mmm
magnetic moment = 0.0 μB/cell
total DFT energy (no corrections) = -25.27 eV for the cell shown

```
data_ZrPNCl2
_space_group_name_H-M_alt 'P 1'
_space_group_IT_number 1
_cell_length_a 4.255
_cell_length_b 4.185
_cell_length_c 4.185
_cell_angle_alpha 90.00
_cell_angle_beta 90.00
_cell_angle_gamma 90.00
loop_
_space_group_symop_operation_xyz
'x,y,z'
loop_
_atom_site_label
_atom_site_type_symbol
_atom_site_fract_x
_atom_site_fract_y
_atom_site_fract_z
Zr1 Zr 0.500 0.500 0.500
P1 P 0.500 0.000 0.000
N1 N 0.000 0.000 0.000
Cl1 Cl 0.000 0.500 0.000
Cl2 Cl 0.000 0.000 0.500
```



No. 2
Material: BaCdRhN2
Method: DFT, PBEsol
State: relaxed

Properties
formation energy from raw total energies = 69 kJ per mole of atoms
crystal system = tetragonal
space group = P4/mmm
magnetic moment = 2.3 μB/cell
total DFT energy (no corrections) = -24.96 eV for the cell shown

```
data_BaCdRhN2
_space_group_name_H-M_alt 'P 1'
_space_group_IT_number 1
_cell_length_a 4.208
_cell_length_b 4.208
_cell_length_c 4.949
_cell_angle_alpha 90.00
_cell_angle_beta 90.00
_cell_angle_gamma 90.00
loop_
_space_group_symop_operation_xyz
'x,y,z'
loop_
_atom_site_label
_atom_site_type_symbol
_atom_site_fract_x
_atom_site_fract_y
_atom_site_fract_z
N1 N 0.000 0.500 0.000
N2 N 0.500 0.000 0.000
Ba1 Ba 0.500 0.500 0.500
Rh1 Rh 0.000 0.000 0.000
Cd1 Cd 0.000 0.000 0.500
```



- formation energy from raw total energies of number 1 (ZrPNCl2)?
  41 kJ per mole of atoms